(1)
# MnHPd GGA-PBE optimized geometry
data_MnHPd
_symmetry_space_group_name_H-M 'P 1'
_symmetry_Int_Tables_number 1
_cell_length_a 7.142
_cell_length_b 2.996
_cell_length_c 5.763
_cell_angle_alpha 90.00
_cell_angle_beta 90.00
_cell_angle_gamma 90.00
loop_
_symmetry_equiv_pos_as_xyz
'x,y,z'
loop_
_atom_site_label
_atom_site_type_symbol
_atom_site_fract_x
_atom_site_fract_y
_atom_site_fract_z
Pd1 Pd 0.667 0.250 0.051
Pd2 Pd 0.167 0.250 0.449
Pd3 Pd 0.333 0.750 0.949
Pd4 Pd 0.833 0.750 0.551
H1 H 0.777 0.250 0.750
H2 H 0.223 0.750 0.250
H3 H 0.723 0.750 0.250
H4 H 0.277 0.250 0.750
Mn1 Mn 0.018 0.250 0.880
Mn2 Mn 0.982 0.750 0.120
Mn3 Mn 0.482 0.750 0.380
Mn4 Mn 0.518 0.250 0.620
# - SG: Pnma, No. 62
# - Electronic total energy: -5.7077 eV per atom
# - Total moment: 0.001 μB per formula unit

=====

(2)
# MnHPd4 GGA-PBE optimized geometry
data_MnHPd4
_symmetry_space_group_name_H-M 'P 1'
_symmetry_Int_Tables_number 1
_cell_length_a 6.210
_cell_length_b 6.210
_cell_length_c 6.210
_cell_angle_alpha 109.05
_cell_angle_beta 109.05
_cell_angle_gamma 110.33
loop_
_symmetry_equiv_pos_as_xyz
'x,y,z'
loop_
_atom_site_label
_atom_site_type_symbol
_atom_site_fract_x
_atom_site_fract_y
_atom_site_fract_z
Mn1 Mn 0.973 0.473 0.500
Mn2 Mn 0.223 0.223 0.000
H1 H 0.546 0.046 0.500
H2 H 0.796 0.796 0.000
Pd1 Pd 0.730 0.546 0.185
Pd2 Pd 0.742 0.944 0.798
Pd3 Pd 0.296 0.980 0.685
Pd4 Pd 0.694 0.992 0.298
Pd5 Pd 0.146 0.944 0.202
Pd6 Pd 0.296 0.611 0.315
Pd7 Pd 0.361 0.546 0.815
Pd8 Pd 0.694 0.396 0.702
# - SG: I4_1md, No. 109
# - Electronic total energy: -5.2767 eV per atom
# - Total moment: 4.562 μB per formula unit

=====

(3)
# MnH3Pd6 GGA-PBE optimized geometry
data_MnH3Pd6
_symmetry_space_group_name_H-M 'P 1'
_symmetry_Int_Tables_number 1
_cell_length_a 2.839
_cell_length_b 9.137
_cell_length_c 9.274
_cell_angle_alpha 105.19
_cell_angle_beta 90.00
_cell_angle_gamma 90.00
loop_
_symmetry_equiv_pos_as_xyz
'x,y,z'
loop_
_atom_site_label
_atom_site_type_symbol
_atom_site_fract_x
_atom_site_fract_y
_atom_site_fract_z
Pd1 Pd 0.250 0.620 0.953
Pd2 Pd 0.250 0.310 0.755
Pd3 Pd 0.750 0.380 0.047
Pd4 Pd 0.250 0.470 0.361
Pd5 Pd 0.250 0.781 0.528
Pd6 Pd 0.750 0.219 0.472
Pd7 Pd 0.750 0.909 0.094
Pd8 Pd 0.250 0.177 0.209
Pd9 Pd 0.750 0.530 0.639
Pd10 Pd 0.750 0.823 0.791
Pd11 Pd 0.250 0.091 0.906
Pd12 Pd 0.750 0.690 0.245
Mn1 Mn 0.250 0.957 0.348
Mn2 Mn 0.750 0.043 0.652
H1 H 0.750 0.184 0.073
H2 H 0.750 0.619 0.416
H3 H 0.250 0.381 0.584
H4 H 0.750 0.525 0.837
H5 H 0.250 0.816 0.927
H6 H 0.250 0.475 0.163
# - SG: P2_1/m, No. 11
# - Electronic total energy: -5.1189 eV per atom
# - Total moment: 4.679 μB per formula unit

=====

(4)
# MnH2Pd8 GGA-PBE optimized geometry
data_MnH2Pd8
_symmetry_space_group_name_H-M 'P 1'
_symmetry_Int_Tables_number 1
_cell_length_a 2.852
_cell_length_b 7.685
_cell_length_c 7.685
_cell_angle_alpha 69.18
_cell_angle_beta 89.82
_cell_angle_gamma 89.82
loop_
_symmetry_equiv_pos_as_xyz
'x,y,z'
loop_
_atom_site_label
_atom_site_type_symbol
_atom_site_fract_x
_atom_site_fract_y
_atom_site_fract_z
Pd1 Pd 0.761 0.589 0.589
Pd2 Pd 0.279 0.337 0.868
Pd3 Pd 0.721 0.663 0.132
Pd4 Pd 0.721 0.132 0.663
Pd5 Pd 0.239 0.411 0.411
Pd6 Pd 0.752 0.202 0.202
Pd7 Pd 0.279 0.868 0.337
Pd8 Pd 0.248 0.798 0.798
H1 H 0.248 0.279 0.279
H2 H 0.752 0.721 0.721
Mn1 Mn 0.000 0.000 0.000
# - SG: C2/m, No. 12
# - Electronic total energy: -5.1434 eV per atom
# - Total moment: 4.730 μB per formula unit